No. 1
DFT (PBE-GGA) results for crystalline CdIn2TePt at its relaxed geometry. Values from VASP.

Calculated values
Energy relative to the elements, uncorrected: -20 kJ per mole of atoms

The structure in Quantum ESPRESSO input format:
```
&SYSTEM
  ibrav = 0, nat = 5, ntyp = 4
/
ATOMIC_SPECIES
Cd 112.41 Cd.upf
In 114.82 In.upf
Te 127.60 Te.upf
Pt 195.08 Pt.upf
CELL_PARAMETERS angstrom
5.2076 0.0000 0.0000
0.0000 5.2076 0.0000
0.0000 0.0000 5.3198
ATOMIC_POSITIONS crystal
Cd 0.0000 0.0000 0.0000
In 0.0000 0.5000 0.5000
In 0.5000 0.0000 0.5000
Te 0.5000 0.5000 0.0000
Pt 0.0000 0.0000 0.5000
```

No. 2
DFT (PBE-GGA) results for crystalline HoHfOs4 at its relaxed geometry. Values from VASP.

Calculated values
ΔH_f (0 K): -0.294 eV per atom

The structure in Quantum ESPRESSO input format:
```
&SYSTEM
  ibrav = 0, nat = 6, ntyp = 3
/
ATOMIC_SPECIES
Ho 164.93 Ho.upf
Hf 178.49 Hf.upf
Os 190.23 Os.upf
CELL_PARAMETERS angstrom
0.0000 3.7358 3.7358
3.7358 0.0000 3.7358
3.7358 3.7358 0.0000
ATOMIC_POSITIONS crystal
Ho 0.0000 0.0000 0.0000
Hf 0.2500 0.2500 0.2500
Os 0.1255 0.6248 0.6248
Os 0.6248 0.1255 0.6248
Os 0.6248 0.6248 0.1255
Os 0.6248 0.6248 0.6248
```

No. 3
DFT (PBE-GGA) results for crystalline HoHfNp2P4 at its relaxed geometry. Values from VASP.

Calculated values
ΔH_f (0 K): -1.155 eV per atom

The structure in Quantum ESPRESSO input format:
```
&SYSTEM
  ibrav = 0, nat = 8, ntyp = 4
/
ATOMIC_SPECIES
Ho 164.93 Ho.upf
Hf 178.49 Hf.upf
Np 237.00 Np.upf
P 30.97 P.upf
CELL_PARAMETERS angstrom
6.7288 0.0000 0.0000
0.0000 3.8816 0.0000
-2.2384 0.0000 6.3699
ATOMIC_POSITIONS crystal
Ho 0.0000 0.0000 0.0000
Hf 0.0000 0.5000 0.5000
Np 0.5000 0.0000 0.5000
Np 0.5000 0.5000 0.0000
P 0.2400 0.0000 0.7387
P 0.2458 0.5000 0.2586
P 0.7542 0.5000 0.7414
P 0.7600 0.0000 0.2613
```

No. 4
DFT (PBE-GGA) results for crystalline HfTaTiVGa at its relaxed geometry. Values from VASP.

Calculated values
ΔH_f (0 K): 0.053 eV per atom

The structure in Quantum ESPRESSO input format:
```
&SYSTEM
  ibrav = 0, nat = 5, ntyp = 5
/
ATOMIC_SPECIES
Hf 178.49 Hf.upf
Ta 180.95 Ta.upf
Ti 47.87 Ti.upf
V 50.94 V.upf
Ga 69.72 Ga.upf
CELL_PARAMETERS angstrom
3.5986 0.0000 0.0000
0.0000 3.9768 0.0000
0.0000 0.0000 6.3134
ATOMIC_POSITIONS crystal
Hf 0.0000 0.0000 0.0000
Ta 0.5000 0.0000 0.5277
Ti 0.0000 0.5000 0.5203
V 0.5000 0.5000 0.8097
Ga 0.5000 0.5000 0.2027
```

No. 5
DFT (PBE-GGA) results for crystalline CaAgIr3 at its relaxed geometry. Values from VASP.

Calculated values
ΔH_f (0 K): 1.579 eV per atom

The structure in Quantum ESPRESSO input format:
```
&SYSTEM
  ibrav = 0, nat = 5, ntyp = 3
/
ATOMIC_SPECIES
Ca 40.08 Ca.upf
Ag 107.87 Ag.upf
Ir 192.22 Ir.upf
CELL_PARAMETERS angstrom
4.8723 0.0000 0.0000
0.0000 4.8723 0.0000
0.0000 0.0000 4.8723
ATOMIC_POSITIONS crystal
Ca 0.0000 0.0000 0.0000
Ag 0.5000 0.5000 0.5000
Ir 0.0000 0.5000 0.5000
Ir 0.5000 0.0000 0.5000
Ir 0.5000 0.5000 0.0000
```

No. 6
DFT (PBE-GGA) results for crystalline BaZrHg at its relaxed geometry. Values from VASP.

Calculated values
ΔH_f (0 K): 0.922 eV per atom

The structure in Quantum ESPRESSO input format:
```
&SYSTEM
  ibrav = 0, nat = 6, ntyp = 3
/
ATOMIC_SPECIES
Ba 137.33 Ba.upf
Zr 91.22 Zr.upf
Hg 200.59 Hg.upf
CELL_PARAMETERS angstrom
5.6229 0.0000 0.0000
-2.8115 4.8696 0.0000
0.0000 0.0000 11.1974
ATOMIC_POSITIONS crystal
Ba 0.3333 0.6667 0.2500
Ba 0.6667 0.3333 0.7500
Zr 0.0000 0.0000 0.0000
Zr 0.0000 0.0000 0.5000
Hg 0.0000 0.0000 0.2500
Hg 0.0000 0.0000 0.7500
```